[1]
Here is a relaxed structure of Eu2MgCo from Alexandria. Energies are from GGA-PBE.

The formation energy comes out at 9 kJ/mol of atoms. The value obtained for the density of states at the Fermi level is 8.19 states/eV per cell. Its space group is No. 123. As for the crystal system: tetragonal. For the volume, the calculation gives 105.1 Å³/cell.

Unit cell a=3.535 b=3.535 c=8.415 alpha=90.00 beta=90.00 gamma=90.00
Site moments in Bohr magnetons follow the coordinates.
Fractional positions:
Eu1 0.000 0.000 0.799  6.95
Eu2 0.000 0.000 0.201  6.95
Mg1 0.500 0.500 0.500  0.01
Co1 0.500 0.500 0.000  -1.28

***

[2]
Here is a relaxed structure of EuMnCo4 from Alexandria. Energies are from GGA-PBE.

The formation energy comes out at 21 kJ/mol of atoms. The value obtained for the density of states at the Fermi level is 7.15 states/eV per cell. Its space group is No. 216. As for the crystal system: cubic. For the volume, the calculation gives 86.1 Å³/cell.

Unit cell a=4.956 b=4.956 c=4.956 alpha=60.00 beta=60.00 gamma=60.00
Site moments in Bohr magnetons follow the coordinates.
Fractional positions:
Eu1 0.000 0.000 0.000  6.76
Mn1 0.250 0.250 0.250  4.02
Co1 0.624 0.624 0.128  -1.30
Co2 0.624 0.128 0.624  -1.30
Co3 0.624 0.624 0.624  -1.30
Co4 0.128 0.624 0.624  -1.30

***

[3]
Here is a relaxed structure of EuCoN from Alexandria. Energies are from GGA-PBE.

The energy comes out at -26.3 eV for the cell shown. The value obtained for the density of states at the Fermi level is 2.94 states/eV per cell. Its space group is No. 187. As for the crystal system: hexagonal. For the volume, the calculation gives 42.2 Å³/cell.

Unit cell a=3.450 b=3.450 c=4.090 alpha=90.00 beta=90.00 gamma=120.00
Site moments in Bohr magnetons follow the coordinates.
Fractional positions:
Eu1 0.000 0.000 0.000  6.82
Co1 0.333 0.667 0.500  -1.08
N1 0.667 0.333 0.500  -0.16

***

[4]
Here is a relaxed structure of Eu3Co5N12 from Alexandria. Energies are from GGA-PBE.

The energy comes out at -643.8 eV for the cell shown. The value obtained for the density of states at the Fermi level is 58.59 states/eV per cell. Its space group is No. 230. As for the crystal system: cubic. For the volume, the calculation gives 905.6 Å³/cell.

Unit cell a=10.557 b=10.557 c=10.557 alpha=109.47 beta=109.47 gamma=109.47
Site moments in Bohr magnetons follow the coordinates.
Fractional positions:
Eu1 0.750 0.375 0.125  6.37
Eu2 0.875 0.750 0.125  6.37
Eu3 0.375 0.750 0.625  6.37
Eu4 0.250 0.125 0.375  6.37
Eu5 0.875 0.125 0.250  6.37
Eu6 0.375 0.625 0.250  6.37
Eu7 0.625 0.375 0.750  6.37
Eu8 0.125 0.875 0.750  6.37
Eu9 0.750 0.875 0.625  6.37
Eu10 0.625 0.250 0.375  6.37
Eu11 0.125 0.250 0.875  6.37
Eu12 0.250 0.625 0.875  6.37
Co1 0.125 0.375 0.250  0.13
Co2 0.000 0.500 0.000  -0.09
Co3 0.000 0.000 0.000  -0.09
Co4 0.375 0.250 0.125  0.13
Co5 0.500 0.000 0.500  -0.09
Co6 0.500 0.500 0.000  -0.09
Co7 0.125 0.750 0.375  0.13
Co8 0.750 0.125 0.875  0.13
Co9 0.750 0.625 0.375  0.13
Co10 0.375 0.125 0.750  0.13
Co11 0.625 0.875 0.250  0.13
Co12 0.500 0.500 0.500  -0.09
Co13 0.500 0.000 0.000  -0.09
Co14 0.000 0.000 0.500  -0.09
Co15 0.250 0.375 0.625  0.13
Co16 0.250 0.875 0.125  0.13
Co17 0.000 0.500 0.500  -0.09
Co18 0.875 0.250 0.625  0.13
Co19 0.625 0.750 0.875  0.13
Co20 0.875 0.625 0.750  0.13
N1 0.697 0.107 0.010  -0.09
N2 0.313 0.510 0.403  -0.09
N3 0.990 0.393 0.303  -0.09
N4 0.510 0.197 0.107  -0.09
N5 0.590 0.697 0.687  -0.09
N6 0.990 0.597 0.187  -0.09
N7 0.313 0.803 0.410  -0.09
N8 0.097 0.910 0.107  -0.09
N9 0.597 0.990 0.687  -0.09
N10 0.697 0.590 0.187  -0.09
N11 0.803 0.490 0.393  -0.09
N12 0.813 0.903 0.010  -0.09
N13 0.107 0.697 0.510  -0.09
N14 0.393 0.403 0.090  -0.09
N15 0.090 0.903 0.393  -0.09
N16 0.410 0.107 0.597  -0.09
N17 0.090 0.187 0.197  -0.09
N18 0.490 0.687 0.097  -0.09
N19 0.813 0.910 0.303  -0.09
N20 0.107 0.410 0.097  -0.09
N21 0.393 0.990 0.803  -0.09
N22 0.597 0.607 0.410  -0.09
N23 0.903 0.813 0.510  -0.09
N24 0.803 0.313 0.910  -0.09
N25 0.403 0.393 0.590  -0.09
N26 0.097 0.187 0.490  -0.09
N27 0.197 0.687 0.090  -0.09
N28 0.187 0.090 0.697  -0.09
N29 0.607 0.010 0.197  -0.09
N30 0.893 0.590 0.903  -0.09
N31 0.510 0.313 0.903  -0.09
N32 0.590 0.893 0.403  -0.09
N33 0.910 0.813 0.803  -0.09
N34 0.910 0.097 0.607  -0.09
N35 0.893 0.303 0.490  -0.09
N36 0.187 0.097 0.990  -0.09
N37 0.607 0.597 0.910  -0.09
N38 0.403 0.010 0.313  -0.09
N39 0.303 0.410 0.813  -0.09
N40 0.197 0.510 0.607  -0.09
N41 0.903 0.090 0.893  -0.09
N42 0.687 0.197 0.590  -0.09
N43 0.490 0.803 0.893  -0.09
N44 0.010 0.403 0.813  -0.09
N45 0.410 0.303 0.313  -0.09
N46 0.010 0.607 0.697  -0.09
N47 0.687 0.490 0.597  -0.09
N48 0.303 0.893 0.990  -0.09

***

[5]
Here is a relaxed structure of NdEuCo from Alexandria. Energies are from GGA-PBE.

The formation energy comes out at 9 kJ/mol of atoms. The value obtained for the density of states at the Fermi level is 8.87 states/eV per cell. Its space group is No. 156. Its energy above the most stable polymorph in this dataset is 21 meV/atom. As for the crystal system: trigonal. For the volume, the calculation gives 88.3 Å³/cell.

Unit cell a=6.467 b=3.970 c=3.970 alpha=120.00 beta=90.00 gamma=90.00
Site moments in Bohr magnetons follow the coordinates.
Fractional positions:
Eu1 0.578 0.333 0.667  6.85
Co1 0.323 0.667 0.333  -0.24
Nd1 0.100 0.000 0.000  0.04

***

[6]
Here is a relaxed structure of NdEuCo from Alexandria. Energies are from GGA-PBE.

The formation energy comes out at 7 kJ/mol of atoms. The value obtained for the density of states at the Fermi level is 8.23 states/eV per cell. Its space group is No. 107. Its energy above the most stable polymorph in this dataset is 0 meV/atom. As for the crystal system: tetragonal. For the volume, the calculation gives 81.2 Å³/cell.

Unit cell a=3.508 b=3.508 c=7.048 alpha=104.41 beta=104.41 gamma=90.00
Site moments in Bohr magnetons follow the coordinates.
Fractional positions:
Eu1 0.036 0.036 0.073  -6.92
Nd1 0.290 0.290 0.579  -0.14
Co1 0.674 0.674 0.348  0.97

***

[7]
Here is a relaxed structure of NdEuCo from Alexandria. Energies are from GGA-PBE.

The formation energy comes out at 14 kJ/mol of atoms. The value obtained for the density of states at the Fermi level is 7.77 states/eV per cell. Its space group is No. 216. Its energy above the most stable polymorph in this dataset is 74 meV/atom. As for the crystal system: cubic. For the volume, the calculation gives 80.3 Å³/cell.

Unit cell a=4.842 b=4.842 c=4.842 alpha=60.00 beta=60.00 gamma=60.00
Site moments in Bohr magnetons follow the coordinates.
Fractional positions:
Eu1 0.000 0.000 0.000  6.84
Co1 0.250 0.250 0.250  -0.38
Nd1 0.500 0.500 0.500  0.11

***

[8]
Here is a relaxed structure of Nd2EuCo from Alexandria. Energies are from GGA-PBE.

The formation energy comes out at 1 kJ/mol of atoms. The value obtained for the density of states at the Fermi level is 3.47 states/eV per cell. Its space group is No. 166. As for the crystal system: trigonal. For the volume, the calculation gives 131.2 Å³/cell.

Unit cell a=3.987 b=3.987 c=9.801 alpha=78.26 beta=78.26 gamma=60.00
Site moments in Bohr magnetons follow the coordinates.
Fractional positions:
Eu1 0.500 0.500 0.500  7.00
Co1 0.000 0.000 0.000  0.04
Nd1 0.719 0.719 0.843  0.02
Nd2 0.281 0.281 0.157  0.02

***

[9]
Here is a relaxed structure of PrEuCoNi from Alexandria. Energies are from GGA-PBE.

The formation energy comes out at 5 kJ/mol of atoms. The value obtained for the density of states at the Fermi level is 10.05 states/eV per cell. Its space group is No. 216. As for the crystal system: cubic. For the volume, the calculation gives 84.8 Å³/cell.

Unit cell a=4.932 b=4.932 c=4.932 alpha=60.00 beta=60.00 gamma=60.00
Site moments in Bohr magnetons follow the coordinates.
Fractional positions:
Eu1 0.500 0.500 0.500  -6.80
Pr1 0.000 0.000 0.000  -0.14
Co1 0.250 0.250 0.250  0.93
Ni1 0.750 0.750 0.750  0.12

***

[10]
Here is a relaxed structure of EuNpCo2 from Alexandria. Energies are from GGA-PBE.

The formation energy comes out at 25 kJ/mol of atoms. The value obtained for the density of states at the Fermi level is 9.10 states/eV per cell. Its space group is No. 166. As for the crystal system: trigonal. For the volume, the calculation gives 78.3 Å³/cell.

Unit cell a=5.081 b=5.081 c=4.567 alpha=56.20 beta=56.20 gamma=60.00
Site moments in Bohr magnetons follow the coordinates.
Fractional positions:
Np1 0.000 0.000 0.000  3.29
Eu1 0.500 0.500 0.500  6.78
Co1 0.786 0.786 0.643  -0.66
Co2 0.214 0.214 0.357  -0.66